# 1
PBE Li2OsCl, relaxed; symmetry = P4/mmm (123); formation energy without anion corrections = 97 kJ/mol of formula units; E above lowest polymorph = 567 meV/atom
1.0
-0.9022 2.2648 -0.9474
-4.6309 -1.6289 0.5160
-0.1431 1.8553 4.5718
Li Os Cl
2 1 1
Direct
0.0000 0.5000 0.5000
0.0000 0.0000 0.0000
0.5000 0.5000 0.0000
0.5000 0.0000 0.5000

=====

# 2
PBE PaZnIn, relaxed; raw total energy = -4.46 eV per atom; symmetry = I4mm (107)
1.0
3.0876 0.0000 0.0000
0.0000 3.0876 0.0000
-1.5438 -1.5438 6.8662
In Zn Pa
1 1 1
Direct
0.3224 0.3224 0.6448
0.6692 0.6692 0.3384
0.0084 0.0084 0.0168